Entry 1:
CaScIn | GGA-PBE | optimized geometry

Unit cell a=3.679 b=3.679 c=13.204 alpha=98.01 beta=98.01 gamma=90.00
Site moments in Bohr magnetons follow the coordinates.
Atoms (fractional coordinates):
Sc 0.285 0.285 0.570  0.31
Sc 0.715 0.715 0.430  0.31
In 0.153 0.153 0.305  0.00
In 0.847 0.847 0.695  0.00
Ca 0.572 0.572 0.144  0.00
Ca 0.428 0.428 0.856  0.00

Summary:
Energy above the most stable polymorph in this dataset (eV per formula unit): 0.226
Calculated formation energy (eV/f.u.): -0.7
Fermi-level density of states (states/eV per cell): 4.38

Entry 2:
CaSc2In | GGA-PBE | optimized geometry

Unit cell a=6.448 b=6.448 c=5.311 alpha=65.70 beta=65.70 gamma=32.50
Atoms (fractional coordinates):
Sc 0.030 0.030 0.970
Sc 0.470 0.470 0.530
Ca 0.250 0.250 0.250
In 0.750 0.750 0.750

Summary:
Calculated formation energy (eV/f.u.): -0.7
Fermi-level density of states (states/eV per cell): 3.85

Entry 3:
CaScIn2 | GGA-PBE | optimized geometry

Unit cell a=5.260 b=3.649 c=5.261 alpha=90.00 beta=90.00 gamma=90.00
Atoms (fractional coordinates):
Sc 0.000 0.625 0.375
Ca 0.500 0.625 0.875
In 0.000 0.125 0.875
In 0.500 0.125 0.375

Summary:
Calculated formation energy (eV/f.u.): -1.6
Fermi-level density of states (states/eV per cell): 2.20

Entry 4:
CaSc2In | GGA-PBE | optimized geometry

Unit cell a=10.986 b=10.986 c=10.986 alpha=18.00 beta=18.00 gamma=18.00
Atoms (fractional coordinates):
Sc 0.009 0.009 0.009
Sc 0.491 0.491 0.491
Ca 0.250 0.250 0.250
In 0.750 0.750 0.750

Summary:
Calculated formation energy (eV/f.u.): 0.0
Fermi-level density of states (states/eV per cell): 6.51

Entry 5:
CaScIn2 | GGA-PBE | optimized geometry

Unit cell a=3.493 b=3.493 c=8.919 alpha=90.00 beta=90.00 gamma=90.34
Site moments in Bohr magnetons follow the coordinates.
Atoms (fractional coordinates):
Sc 0.000 0.000 0.462  0.14
Ca 0.500 0.500 0.760  0.00
In 0.000 0.000 0.024  0.00
In 0.500 0.500 0.254  0.00

Summary:
Calculated formation energy (eV/f.u.): -0.5
Fermi-level density of states (states/eV per cell): 2.71

Entry 6:
CaScIn | GGA-PBE | optimized geometry

Unit cell a=5.192 b=5.192 c=3.559 alpha=90.00 beta=90.00 gamma=120.00
Atoms (fractional coordinates):
Sc 0.667 0.333 0.568
Ca 0.000 0.000 0.014
In 0.333 0.667 0.419

Summary:
Energy above the most stable polymorph in this dataset (eV per formula unit): 0.473
Calculated formation energy (eV/f.u.): -0.5
Fermi-level density of states (states/eV per cell): 2.58

Entry 7:
CaSc2In | GGA-PBE | optimized geometry

Unit cell a=12.003 b=12.003 c=12.003 alpha=16.21 beta=16.21 gamma=16.21
Site moments in Bohr magnetons follow the coordinates.
Atoms (fractional coordinates):
Sc 0.915 0.915 0.915  0.27
Sc 0.085 0.085 0.085  0.27
Ca 0.500 0.500 0.500  0.05
In 0.000 0.000 0.000  0.00

Summary:
Calculated formation energy (eV/f.u.): 1.1
Fermi-level density of states (states/eV per cell): 5.99

Entry 8:
CaScIn | GGA-PBE | optimized geometry

Unit cell a=5.125 b=5.125 c=5.125 alpha=60.00 beta=60.00 gamma=60.00
Atoms (fractional coordinates):
Sc 0.250 0.250 0.250
Ca 0.750 0.750 0.750
In 0.000 0.000 0.000

Summary:
Energy above the most stable polymorph in this dataset (eV per formula unit): 0.733
Calculated formation energy (eV/f.u.): -0.2
Fermi-level density of states (states/eV per cell): 0.33

Entry 9:
CaScIn2 | GGA-PBE | optimized geometry

Unit cell a=5.309 b=5.309 c=5.309 alpha=60.00 beta=60.00 gamma=60.00
Atoms (fractional coordinates):
Sc 0.750 0.750 0.750
Ca 0.500 0.500 0.500
In 0.000 0.000 0.000
In 0.250 0.250 0.250

Summary:
Calculated formation energy (eV/f.u.): -0.1
Fermi-level density of states (states/eV per cell): 4.22

Entry 10:
CaScIn | GGA-PBE | optimized geometry

Unit cell a=6.978 b=5.169 c=8.996 alpha=90.00 beta=90.00 gamma=90.00
Atoms (fractional coordinates):
Sc 0.205 0.250 0.420
Sc 0.295 0.750 0.920
Sc 0.795 0.750 0.580
Sc 0.705 0.250 0.080
Ca 0.007 0.250 0.775
Ca 0.493 0.750 0.275
Ca 0.993 0.750 0.225
Ca 0.507 0.250 0.725
In 0.757 0.250 0.413
In 0.743 0.750 0.913
In 0.243 0.750 0.587
In 0.257 0.250 0.087

Summary:
Energy above the most stable polymorph in this dataset (eV per formula unit): 0.000
Calculated formation energy (eV/f.u.): -1.0
Fermi-level density of states (states/eV per cell): 1.16

Entry 11:
CaScIn2 | GGA-PBE | optimized geometry

Unit cell a=7.151 b=7.151 c=7.151 alpha=57.16 beta=152.27 gamma=131.08
Atoms (fractional coordinates):
Ca 0.000 0.000 0.000
Sc 0.000 0.500 0.500
In 0.000 0.261 0.261
In 0.000 0.739 0.739

Summary:
Calculated formation energy (eV/f.u.): 1.1
Fermi-level density of states (states/eV per cell): 4.82

Entry 12:
CaScIn | GGA-PBE | optimized geometry

Unit cell a=5.292 b=5.292 c=11.211 alpha=90.00 beta=90.00 gamma=120.00
Site moments in Bohr magnetons follow the coordinates.
Atoms (fractional coordinates):
Sc 0.000 0.000 0.000  0.21
Sc 0.000 0.000 0.500  0.21
Ca 0.333 0.667 0.250  -0.01
Ca 0.667 0.333 0.750  -0.01
In 0.000 0.000 0.250  0.00
In 0.000 0.000 0.750  0.00

Summary:
Energy above the most stable polymorph in this dataset (eV per formula unit): 2.869
Calculated formation energy (eV/f.u.): 1.9
Fermi-level density of states (states/eV per cell): 10.47